Arrangement a

A relaxed TcOs5 crystal, computed with PBEsol.

Values from the calculation:
D(E_F), states/eV/cell: 3.29

Cell: 4.3034 4.7342 4.7342 Å, 120.00 90.00 90.00°
Last column: nearest neighbours and their distance in Å.
Fractional positions:
Os1 0.5000 0.6667 0.3333  9 Os 2.67-2.73, 3 Tc 2.73
Os2 0.0000 0.0000 0.6669  2 Tc 2.67, 10 Os 2.67-2.73
Os3 0.0000 0.3331 0.3331  2 Tc 2.67, 10 Os 2.67-2.73
Os4 0.0000 0.6669 0.0000  2 Tc 2.67, 10 Os 2.67-2.73
Os5 0.5000 0.3333 0.6667  9 Os 2.67-2.73, 3 Tc 2.73
Tc1 0.5000 0.0000 0.0000  12 Os 2.67-2.73

=====

Arrangement b

A relaxed TcOs5 crystal, computed with PBEsol.

Values from the calculation:
D(E_F), states/eV/cell: 3.30

Cell: 2.7322 4.3071 7.2311 Å, 90.00 100.89 90.00°
Last column: nearest neighbours and their distance in Å.
Fractional positions:
Os1 0.6670 0.0000 0.3339  12 Os 2.67-2.75
Os2 0.5553 0.5000 0.1106  10 Os 2.67-2.74, 2 Tc 2.73
Os3 0.2223 0.5000 0.4446  10 Os 2.67-2.74, 2 Tc 2.74
Os4 0.3336 0.0000 0.6673  4 Tc 2.67, 8 Os 2.67-2.73
Os5 0.9993 0.0000 0.9986  2 Tc 2.66, 10 Os 2.67-2.75
Tc1 0.8892 0.5000 0.7784  10 Os 2.66-2.74, 2 Tc 2.73

=====

Energy ordering: arrangement a at the bottom, the next structure 0.5 kJ/mol of atoms above.

=====

Arrangement a

A relaxed TcTe2Os crystal, computed with PBEsol.

Values from the calculation:
D(E_F), states/eV/cell: 5.26

Cell: 3.1680 5.3691 5.3691 Å, 59.95 72.84 72.84°
Last column: nearest neighbours and their distance in Å.
Fractional positions:
Te1 0.7531 0.2469 0.2469  2 Os 2.68, 2 Tc 2.72
Te2 0.2469 0.7531 0.7531  2 Os 2.68, 2 Tc 2.72
Tc1 0.0000 0.5000 0.5000  4 Te 2.72
Os1 0.5000 0.0000 0.0000  4 Te 2.68

=====

Arrangement b

A relaxed TcTe2Os crystal, computed with PBEsol.

Values from the calculation:
D(E_F), states/eV/cell: 4.47

Cell: 3.9071 3.9071 5.4418 Å, 111.04 111.04 90.00°
Last column: nearest neighbours and their distance in Å.
Fractional positions:
Te1 0.7500 0.2500 0.5000  4 Tc 2.76, 4 Te 3.05, 4 Os 3.05
Te2 0.0000 0.0000 0.0000  4 Os 2.76, 4 Tc 3.05, 4 Te 3.05
Os1 0.5000 0.5000 0.0000  8 Te 2.76-3.05, 4 Tc 3.05
Tc1 0.2500 0.7500 0.5000  8 Te 2.76-3.05, 4 Os 3.05

=====

Energy ordering: arrangement b at the bottom, the next structure 17.5 kJ/mol of atoms above.

=====

Arrangement a

A relaxed ZrTc2Os crystal, computed with PBEsol.

Values from the calculation:
D(E_F), states/eV/cell: 4.35

Cell: 2.7876 2.7876 8.0530 Å, 90.00 90.00 90.00°
Last column: nearest neighbours and their distance in Å.
Fractional positions:
Tc1 0.5000 0.5000 0.2231  8 Tc 2.70-2.79, 4 Zr 3.00
Tc2 0.0000 0.0000 0.9936  4 Os 2.62, 8 Tc 2.70-2.79
Zr1 0.0000 0.0000 0.5041  4 Zr 2.79, 4 Os 2.97, 4 Tc 3.00
Os1 0.5000 0.5000 0.7793  4 Tc 2.62, 4 Os 2.79

=====

Arrangement b

A relaxed ZrTc2Os crystal, computed with PBEsol.

Values from the calculation:
D(E_F), states/eV/cell: 4.67

Cell: 2.8373 3.7503 5.9076 Å, 90.00 90.00 90.00°
Last column: nearest neighbours and their distance in Å.
Fractional positions:
Zr1 0.0000 0.0000 0.5022  2 Zr 2.84, 4 Os 2.87, 6 Tc 2.89-2.97
Tc1 0.0000 0.0000 0.9987  4 Os 2.68, 6 Tc 2.68-2.84, 2 Zr 2.93-2.97
Tc2 0.5000 0.5000 0.2179  1 Os 2.58, 6 Tc 2.68-2.84
Os1 0.5000 0.5000 0.7812  5 Tc 2.58-2.68, 2 Os 2.84, 4 Zr 2.87

=====

Energy ordering: arrangement a at the bottom, the next structure 2.0 kJ/mol of atoms above.

=====

Arrangement a

A relaxed ZrTcOs2 crystal, computed with PBEsol.

Values from the calculation:
D(E_F), states/eV/cell: 5.65

Cell: 3.9624 3.9624 4.8316 Å, 114.21 114.21 90.00°
Last column: nearest neighbours and their distance in Å.
Fractional positions:
Zr1 0.0000 0.0000 0.0000  8 Os 2.79, 4 Tc 2.80
Tc1 0.5000 0.5000 0.0000  8 Os 2.79, 4 Zr 2.80
Os1 0.2500 0.7500 0.5000  4 Zr 2.79, 4 Tc 2.79, 4 Os 2.80
Os2 0.7500 0.2500 0.5000  4 Zr 2.79, 4 Tc 2.79, 4 Os 2.80

=====

Arrangement b

A relaxed ZrTcOs2 crystal, computed with PBEsol.

Values from the calculation:
D(E_F), states/eV/cell: 5.50

Cell: 3.0235 4.5313 4.5313 Å, 90.00 90.00 90.00°
Last column: nearest neighbours and their distance in Å.
Fractional positions:
Tc1 0.5000 0.5000 0.5000  8 Os 2.72, 2 Tc 3.02
Zr1 0.5000 0.0000 0.0000  8 Os 2.72, 2 Zr 3.02
Os1 0.0000 0.0000 0.5000  4 Zr 2.72, 4 Tc 2.72, 2 Os 3.02
Os2 0.0000 0.5000 0.0000  4 Zr 2.72, 4 Tc 2.72, 2 Os 3.02

=====

Arrangement c

A relaxed ZrTcOs2 crystal, computed with PBEsol.

Values from the calculation:
D(E_F), states/eV/cell: 4.90

Cell: 2.8064 2.8064 7.8760 Å, 90.00 90.00 90.00°
Last column: nearest neighbours and their distance in Å.
Fractional positions:
Os1 0.0000 0.0000 0.7763  4 Tc 2.65, 4 Os 2.81, 4 Zr 2.94
Os2 0.0000 0.0000 0.2237  4 Tc 2.65, 4 Os 2.81, 4 Zr 2.94
Zr1 0.5000 0.5000 0.5000  4 Zr 2.81, 8 Os 2.94
Tc1 0.5000 0.5000 0.0000  8 Os 2.65, 4 Tc 2.81

=====

Energy ordering: arrangement c at the bottom, the next structure 6.7 kJ/mol of atoms above.

=====

Arrangement a

A relaxed TeOs3 crystal, computed with PBEsol.

Values from the calculation:
D(E_F), states/eV/cell: 7.06

Cell: 4.4732 4.4732 4.4732 Å, 60.00 60.00 60.00°
Last column: nearest neighbours and their distance in Å.
Fractional positions:
Te1 0.0000 0.0000 0.0000  8 Os 2.74
Os1 0.5000 0.5000 0.5000  8 Os 2.74
Os2 0.2500 0.2500 0.2500  4 Os 2.74, 4 Te 2.74
Os3 0.7500 0.7500 0.7500  4 Te 2.74, 4 Os 2.74

=====

Arrangement b

A relaxed TeOs3 crystal, computed with PBEsol.

Values from the calculation:
D(E_F), states/eV/cell: 4.26

Cell: 2.8866 2.8866 8.8604 Å, 80.62 80.62 60.00°
Last column: nearest neighbours and their distance in Å.
Fractional positions:
Os1 0.2472 0.2472 0.2583  9 Os 2.68-2.89, 3 Te 2.80
Os2 0.5000 0.5000 0.5000  12 Os 2.68-2.89
Os3 0.7528 0.7528 0.7417  9 Os 2.68-2.89, 3 Te 2.80
Te1 0.0000 0.0000 0.0000  6 Os 2.80, 6 Te 2.89

=====

Arrangement c

A relaxed TeOs3 crystal, computed with PBEsol.

Values from the calculation:
D(E_F), states/eV/cell: 6.14

Cell: 3.9461 3.9461 3.9461 Å, 90.00 90.00 90.00°
Last column: nearest neighbours and their distance in Å.
Fractional positions:
Os1 0.5000 0.5000 0.0000  8 Os 2.79, 4 Te 2.79
Os2 0.5000 0.0000 0.5000  8 Os 2.79, 4 Te 2.79
Os3 0.0000 0.5000 0.5000  8 Os 2.79, 4 Te 2.79
Te1 0.0000 0.0000 0.0000  12 Os 2.79

=====

Energy ordering: arrangement b at the bottom, the next structure 14.4 kJ/mol of atoms above.

=====

Arrangement a

A relaxed TeOs2 crystal, computed with PBEsol.

Values from the calculation:
D(E_F), states/eV/cell: 3.61

Cell: 3.6525 3.6525 4.3090 Å, 90.00 90.00 90.00°
Last column: nearest neighbours and their distance in Å.
Fractional positions:
Os1 0.0000 0.5000 0.5000  4 Os 2.58, 4 Te 2.82
Os2 0.5000 0.0000 0.5000  4 Os 2.58, 4 Te 2.82
Te1 0.0000 0.0000 0.0000  8 Os 2.82

=====

Arrangement b

A relaxed TeOs2 crystal, computed with PBEsol.

Values from the calculation:
D(E_F), states/eV/cell: 2.75

Cell: 3.0321 4.3313 4.3313 Å, 120.00 90.00 90.00°
Last column: nearest neighbours and their distance in Å.
Fractional positions:
Te1 0.0000 0.0000 0.0000  6 Os 2.62
Os1 0.7388 0.3333 0.6667  3 Te 2.62, 3 Os 2.89
Os2 0.2612 0.6667 0.3333  3 Te 2.62, 3 Os 2.89

=====

Energy ordering: arrangement b at the bottom, the next structure 16.3 kJ/mol of atoms above.